No. 1
Compound: Rb3Ce3AlSe8
Source: Alexandria via LeMat-Bulk
Functional: PBE
Structure: optimized geometry

Summary:
Uncorrected formation energy = -1472 meV/atom

abc: 8.4706 8.4708 9.5002
angles: 116.48 89.98 120.01
With the nearest neighbours (Å) after each atom.
Positions (direct):
Se1 0.7871 0.5743 0.3183  1 Al 2.68, 2 Ce 2.95
Se2 0.7334 0.4667 0.7000  3 Ce 2.94
Se3 0.7559 0.9689 0.6818  1 Al 2.68, 2 Ce 2.95-2.96
Se4 0.2129 0.9689 0.6817  1 Al 2.68, 2 Ce 2.95
Se5 0.7871 0.0311 0.3183  1 Al 2.68, 2 Ce 2.95
Se6 0.2666 0.5333 0.3000  3 Ce 2.94
Se7 0.2441 0.0311 0.3182  1 Al 2.68, 2 Ce 2.95-2.96
Se8 0.2129 0.4257 0.6817  1 Al 2.68, 2 Ce 2.95
Rb1 0.0000 0.5000 0.0000  6 Se 3.46-3.50
Rb2 0.5000 0.5000 0.0000  6 Se 3.46-3.50
Rb3 0.0000 0.0000 0.0000  6 Se 3.46-3.50
Ce1 0.5000 0.5000 0.5000  6 Se 2.94-2.95
Ce2 0.0000 0.5000 0.5000  6 Se 2.94-2.95
Ce3 0.5000 0.0000 0.5000  6 Se 2.94-2.96
Al1 0.0000 0.0000 0.5000  6 Se 2.68



No. 2
Compound: Ba3Tb
Source: Alexandria via LeMat-Bulk
Functional: PBE
Structure: optimized geometry

Summary:
Relative energy among the computed polymorphs = 79.4 meV per atom
Formation energy from the elements = 29 kJ/mol of atoms

abc: 4.0984 3.8722 13.1768
angles: 90.00 90.00 90.00
With the nearest neighbours (Å) after each atom.
Positions (direct):
Ba1 0.5000 0.0000 0.7286  2 Tb 3.76, 4 Ba 3.87-4.10
Ba2 0.0000 0.5000 0.4597  6 Ba 3.87-4.25
Ba3 0.5000 0.5000 0.1769  6 Ba 3.87-4.25, 4 Tb 3.94
Tb1 0.0000 0.0000 0.9681  6 Ba 3.76-3.94, 4 Tb 3.87-4.10



No. 3
Compound: KTcS2O8
Source: Alexandria via LeMat-Bulk
Functional: PBE
Structure: optimized geometry

Summary:
Uncorrected formation energy = -1388 meV/atom

abc: 4.8798 4.8798 8.7369
angles: 73.78 73.78 60.00
With the nearest neighbours (Å) after each atom.
Positions (direct):
O1 0.2036 0.2036 0.3893  1 S 1.46
O2 0.7964 0.7964 0.6107  1 S 1.46
O3 0.0043 0.5848 0.1519  1 S 1.51
O4 0.9957 0.4152 0.8481  1 S 1.51
O5 0.4152 0.7410 0.8481  1 S 1.51
O6 0.5848 0.2590 0.1519  1 S 1.51
O7 0.7410 0.9957 0.8481  1 S 1.51
O8 0.2590 0.0043 0.1519  1 S 1.51
K1 0.5000 0.5000 0.5000  6 O 2.96
S1 0.2625 0.2625 0.2126  4 O 1.46-1.51
S2 0.7375 0.7375 0.7874  4 O 1.46-1.51
Tc1 0.0000 0.0000 0.0000  6 O 2.08